The following is a DFT calculation (PBE+U) of a relaxed CoAgSO crystal.

abc: 5.0976 5.2263 10.0378
angles: 90.00 95.17 90.00
Element x y z (fractional)
Ag 0.0930 0.3999 0.3705
Ag 0.3932 0.8778 0.4508
Ag 0.6068 0.3778 0.5492
Ag 0.9070 0.8999 0.6295
Co 0.0170 0.8885 0.0429
Co 0.4963 0.3590 0.1044
Co 0.5037 0.8590 0.8956
Co 0.9830 0.3885 0.9571
O 0.7488 0.1294 0.0020
O 0.7667 0.6290 0.0428
O 0.2333 0.1290 0.9572
O 0.2512 0.6294 0.9980
S 0.2591 0.0648 0.2263
S 0.6434 0.5516 0.3275
S 0.3566 0.0516 0.6725
S 0.7409 0.5648 0.7737

Computed properties:
The volume is 16.6 A^3/atom. Its final energy is -0.166 Ha/atom. As for the symmetry: P2_1, No. 4.

The following is a DFT calculation (PBE+U) of a relaxed CoAgSO crystal.

abc: 3.6240 3.6242 11.0466
angles: 90.00 90.00 120.00
Element x y z (fractional)
Ag 0.3333 0.6667 0.2507
Ag 0.6667 0.3333 0.7507
Co 0.0000 0.0000 0.0039
Co 0.0000 0.0000 0.5039
O 0.0000 0.0000 0.3414
O 0.0000 0.0000 0.8414
S 0.6667 0.3334 0.0916
S 0.3333 0.6666 0.5916

Computed properties:
The volume is 15.7 A^3/atom. Its final energy is -0.163 Ha/atom. As for the symmetry: P6_3mc, No. 186.

The following is a DFT calculation (PBE+U) of a relaxed CoAgSO crystal.

abc: 7.0369 7.0369 5.8548
angles: 90.00 90.00 24.91
Last column: magnetic moment on the atom in μB.
Element x y z (fractional)
Ag 0.9552 0.9552 0.3804  -0.05
Ag 0.0448 0.0448 0.8804  -0.04
Co 0.6866 0.6866 0.4527  2.27
Co 0.3134 0.3134 0.9527  2.28
O 0.8957 0.8957 0.0141  0.02
O 0.1043 0.1043 0.5141  0.02
S 0.6887 0.6887 0.0454  -0.06
S 0.3113 0.3113 0.5454  -0.06

Computed properties:
The volume is 15.3 A^3/atom. Its final energy is -0.165 Ha/atom. As for the symmetry: Cmc2_1, No. 36.

The following is a DFT calculation (PBE+U) of a relaxed CoAgSO crystal.

abc: 6.3326 6.3143 5.7273
angles: 90.00 96.20 90.00
Element x y z (fractional)
Ag 0.9575 0.2760 0.0819
Ag 0.0425 0.7760 0.4181
Ag 0.9575 0.2240 0.5819
Ag 0.0425 0.7240 0.9181
Co 0.5054 0.6288 0.2261
Co 0.4946 0.1288 0.2739
Co 0.5054 0.8712 0.7261
Co 0.4946 0.3712 0.7739
O 0.6249 0.3650 0.1195
O 0.3751 0.8650 0.3805
O 0.6249 0.1350 0.6195
O 0.3751 0.6350 0.8805
S 0.7431 0.8956 0.0999
S 0.2569 0.3956 0.4001
S 0.7431 0.6044 0.5999
S 0.2569 0.1044 0.9001

Computed properties:
The volume is 14.2 A^3/atom. Its final energy is -0.168 Ha/atom. As for the symmetry: P2_1/c, No. 14.